1.
# Y12SnRu6 PBE optimized geometry
data_Y12SnRu6
_space_group_name_H-M_alt 'I m -3'
_space_group_IT_number 204
_space_group_name_Hall '-I 2 2 3'
_cell_length_a 9.875
_cell_length_b 9.875
_cell_length_c 9.875
_cell_angle_alpha 90.00
_cell_angle_beta 90.00
_cell_angle_gamma 90.00
loop_
_atom_site_label
_atom_site_type_symbol
_atom_site_fract_x
_atom_site_fract_y
_atom_site_fract_z
_atom_site_occupancy
Y1 Y 0.000 0.296 0.194 1
Sn1 Sn 0.000 0.000 0.000 1
Ru1 Ru 0.000 0.123 0.500 1
# calculated volume: 25.34 Å³/atom
# energy of formation: -0.32 eV/atom
# uncorrected energy: -143.3 eV/f.u.
# total magnetic moment: 0.00 μB per formula unit

=====

2.
# YSn3Ru2 PBE optimized geometry
data_YSn3Ru2
_space_group_name_H-M_alt 'P -3 m 1'
_space_group_IT_number 164
_space_group_name_Hall '-P 3 2"'
_cell_length_a 6.4680
_cell_length_b 6.4680
_cell_length_c 7.0145
_cell_angle_alpha 90.00
_cell_angle_beta 90.00
_cell_angle_gamma 120.00
loop_
_atom_site_label
_atom_site_type_symbol
_atom_site_fract_x
_atom_site_fract_y
_atom_site_fract_z
_atom_site_occupancy
Y1 Y 0.3333 0.6667 0.3220 1
Sn1 Sn 0.1687 0.3374 0.7165 1
Ru1 Ru 0.0000 0.0000 0.0000 1
Ru2 Ru 0.0000 0.5000 0.0000 1
# calculated volume: 21.18 Å³/atom
# energy of formation: -0.16 eV/atom
# uncorrected energy: -38.0 eV/f.u.
# total magnetic moment: 0.00 μB per formula unit

=====

3.
# YSn3Ru PBE optimized geometry
data_YSn3Ru
_space_group_name_H-M_alt 'P m -3 m'
_space_group_IT_number 221
_space_group_name_Hall '-P 4 2 3'
_cell_length_a 5.135
_cell_length_b 5.135
_cell_length_c 5.135
_cell_angle_alpha 90.00
_cell_angle_beta 90.00
_cell_angle_gamma 90.00
loop_
_atom_site_label
_atom_site_type_symbol
_atom_site_fract_x
_atom_site_fract_y
_atom_site_fract_z
_atom_site_occupancy
Y1 Y 0.000 0.000 0.000 1
Sn1 Sn 0.000 0.500 0.500 1
Ru1 Ru 0.500 0.500 0.500 1
# calculated volume: 27.09 Å³/atom
# energy of formation: 0.05 eV/atom
# uncorrected energy: -27.5 eV/f.u.
# total magnetic moment: 0.00 μB per formula unit